VASP calculation (PBE) on a relaxed Sc4In5Ag2 crystal.

## Properties
* total moment: 0.00 μB per formula unit
* ΔE_f: -330 meV/atom
* total energy: -48.35 eV for the cell shown
* DOS(E_F): 9.5 states/eV per cell
* mass density: 6.59 Mg/m³

Unit cell a=7.6180 b=3.2889 c=9.7862 alpha=90.00 beta=94.71 gamma=90.00
Space group P2/m (No. 10)
Symmetry-distinct sites (fractional):
Sc1 0.1767 0.0000 0.3806 [2 per cell]
Sc2 0.2589 0.0000 0.9382 [2 per cell]
In1 0.1734 0.5000 0.6570 [2 per cell]
In2 0.4456 0.5000 0.1867 [2 per cell]
In3 0.5000 0.5000 0.5000 [1 per cell]
Ag1 0.0690 0.5000 0.1351 [2 per cell]